The following is a PBE-GGA calculation of a relaxed structure of Nd4GaGeBr2, from the Alexandria database.

Cell: 4.3173 7.6122 7.5353 Å, 70.83 90.00 90.00°
Closest atoms and distances in Å follow each position.
Positions (direct):
Br: 0.0000 0.0000 0.0000  6 Nd 3.22
Br: 0.5000 0.0000 0.5000  6 Nd 3.20-3.23
Ga: 0.5000 0.5000 0.0000  6 Nd 2.95-2.96
Nd: 0.0000 0.7206 0.7591  2 Ga 2.96, 1 Ge 2.96, 3 Br 3.20-3.22
Nd: 0.0000 0.2794 0.2409  2 Ga 2.96, 1 Ge 2.96, 3 Br 3.20-3.22
Nd: 0.5000 0.2823 0.7397  2 Ge 2.95, 1 Ga 2.95, 3 Br 3.22-3.23
Nd: 0.5000 0.7177 0.2603  2 Ge 2.95, 1 Ga 2.95, 3 Br 3.22-3.23
Ge: 0.0000 0.5000 0.5000  6 Nd 2.95-2.96

The calculation puts the total DFT energy (no corrections) at -4.785 eV/atom. As for the space-group type: P2/m (10). As for the energy relative to the elements, uncorrected: -1027 meV per atom. The value obtained for the density of states at the Fermi level is 0.41 states/eV per atom. The calculation puts the theoretical density at 6.24 g cm⁻³.